Entry 1:
The following is a PBE calculation of a relaxed RhW3 crystal, from Alexandria via LeMat-Bulk.

abc: 6.935 8.539 4.277
angles: 90.00 90.00 90.00
Space group Cmcm (No. 63)
Inequivalent atoms, fractional coordinates:
Rh  0.000  0.104  0.250 [4 per cell]
W  0.000  0.360  0.750 [4 per cell]
W  0.234  0.380  0.250 [8 per cell]

density of states at the Fermi level	0.747	states/eV per atom
calculated total energy	-45.66	eV/f.u.

Entry 2:
The following is a PBE calculation of a relaxed RhW2 crystal, from Alexandria via LeMat-Bulk.

abc: 10.506 2.726 6.686
angles: 90.00 104.29 90.00
Space group C2/m (No. 12)
Inequivalent atoms, fractional coordinates:
Rh  0.027  0.000  0.304 [4 per cell]
W  0.134  0.500  0.027 [4 per cell]
W  0.189  0.500  0.635 [4 per cell]

distance to the lowest polymorph of the same formula	48	meV/atom
density of states at the Fermi level	0.827	states/eV per atom
calculated total energy	-33.24	eV/f.u.

Entry 3:
The following is a PBE calculation of a relaxed RhW crystal, from Alexandria via LeMat-Bulk.

abc: 2.772 2.772 7.923
angles: 90.00 90.00 90.00
Space group P4/nmm (No. 129, origin choice 2)
Inequivalent atoms, fractional coordinates:
Rh  0.250  0.250  0.130 [2 per cell]
W  0.250  0.250  0.636 [2 per cell]

density of states at the Fermi level	0.608	states/eV per atom
calculated total energy	-20.47	eV/f.u.

Entry 4:
The following is a PBE calculation of a relaxed Rh3W5 crystal, from Alexandria via LeMat-Bulk.

abc: 5.008 13.640 7.639
angles: 90.00 105.84 90.00
Space group C2/m (No. 12)
Inequivalent atoms, fractional coordinates:
Rh  0.000  0.180  0.000 [4 per cell]
Rh  0.000  0.266  0.500 [4 per cell]
Rh  0.104  0.500  0.359 [4 per cell]
W  0.091  0.330  0.204 [8 per cell]
W  0.110  0.098  0.336 [8 per cell]
W  0.248  0.000  0.994 [4 per cell]

distance to the lowest polymorph of the same formula	147	meV/atom
density of states at the Fermi level	0.909	states/eV per atom
calculated total energy	-85.83	eV/f.u.

Entry 5:
The following is a PBE calculation of a relaxed RhW3 crystal, from Alexandria via LeMat-Bulk.

abc: 2.729 2.729 8.462
angles: 90.00 90.00 90.00
Space group P4/mmm (No. 123)
Inequivalent atoms, fractional coordinates:
Rh  0.000  0.000  0.000 [1 per cell]
W  0.000  0.000  0.500 [1 per cell]
W  0.500  0.500  0.234 [2 per cell]

density of states at the Fermi level	0.774	states/eV per atom
calculated total energy	-45.87	eV/f.u.

Entry 6:
The following is a PBE calculation of a relaxed RhW2 crystal, from Alexandria via LeMat-Bulk.

abc: 4.4487 4.4487 5.4532
angles: 90.00 90.00 120.00
Space group P6_3/mmc (No. 194)
Inequivalent atoms, fractional coordinates:
Rh  0.3333  0.6667  0.2500 [2 per cell]
W  0.0000  0.0000  0.0000 [2 per cell]
W  0.3333  0.6667  0.7500 [2 per cell]

distance to the lowest polymorph of the same formula	180	meV/atom
density of states at the Fermi level	1.166	states/eV per atom
calculated total energy	-32.84	eV/f.u.

Entry 7:
The following is a PBE calculation of a relaxed RhW crystal, from Alexandria via LeMat-Bulk.

abc: 9.1416 9.1416 2.7349
angles: 90.00 90.00 120.00
Space group P6_3/m (No. 176)
Inequivalent atoms, fractional coordinates:
Rh  0.0527  0.2875  0.2500 [6 per cell]
W  0.1435  0.6239  0.2500 [6 per cell]

density of states at the Fermi level	0.837	states/eV per atom
calculated total energy	-19.69	eV/f.u.

Entry 8:
The following is a PBE calculation of a relaxed RhW2 crystal, from Alexandria via LeMat-Bulk.

abc: 4.025 12.151 3.806
angles: 90.00 90.00 90.00
Space group Cmcm (No. 63)
Inequivalent atoms, fractional coordinates:
Rh  0.000  0.080  0.250 [4 per cell]
W  0.000  0.254  0.750 [4 per cell]
W  0.000  0.422  0.250 [4 per cell]

distance to the lowest polymorph of the same formula	72	meV/atom
density of states at the Fermi level	0.656	states/eV per atom
calculated total energy	-33.16	eV/f.u.

Entry 9:
The following is a PBE calculation of a relaxed RhW crystal, from Alexandria via LeMat-Bulk.

abc: 3.946 3.946 7.761
angles: 90.00 90.00 90.00
Space group I4_1/amd (No. 141, origin choice 2)
Inequivalent atoms, fractional coordinates:
Rh  0.000  0.250  0.375 [4 per cell]
W  0.000  0.250  0.875 [4 per cell]

density of states at the Fermi level	1.149	states/eV per atom
calculated total energy	-20.35	eV/f.u.

Entry 10:
The following is a PBE calculation of a relaxed Rh4W5 crystal, from Alexandria via LeMat-Bulk.

abc: 7.6404 7.6404 5.4757
angles: 90.00 90.00 120.00
Space group P6_3/mcm (No. 193)
Inequivalent atoms, fractional coordinates:
Rh  0.0000  0.0000  0.0000 [2 per cell]
Rh  0.0000  0.3258  0.2500 [6 per cell]
W  0.0000  0.3422  0.7500 [6 per cell]
W  0.3333  0.6667  0.0000 [4 per cell]

distance to the lowest polymorph of the same formula	12	meV/atom
density of states at the Fermi level	0.742	states/eV per atom
calculated total energy	-93.95	eV/f.u.

Entry 11:
The following is a PBE calculation of a relaxed RhW2 crystal, from Alexandria via LeMat-Bulk.

abc: 2.709 4.028 18.759
angles: 90.00 90.00 90.00
Space group Imma (No. 74)
Inequivalent atoms, fractional coordinates:
Rh  0.000  0.250  0.119 [4 per cell]
W  0.000  0.250  0.542 [4 per cell]
W  0.000  0.250  0.686 [4 per cell]

distance to the lowest polymorph of the same formula	601	meV/atom
density of states at the Fermi level	0.807	states/eV per atom
calculated total energy	-31.58	eV/f.u.

Entry 12:
The following is a PBE calculation of a relaxed RhW2 crystal, from Alexandria via LeMat-Bulk.

abc: 3.260 3.260 8.937
angles: 90.00 90.00 90.00
Space group I4/mmm (No. 139)
Inequivalent atoms, fractional coordinates:
Rh  0.000  0.000  0.000 [2 per cell]
W  0.000  0.000  0.327 [4 per cell]

distance to the lowest polymorph of the same formula	293	meV/atom
density of states at the Fermi level	1.503	states/eV per atom
calculated total energy	-32.50	eV/f.u.

Entry 13:
The following is a PBE calculation of a relaxed Rh2W3 crystal, from Alexandria via LeMat-Bulk.

abc: 4.2474 4.2474 5.4663
angles: 90.00 90.00 120.00
Space group P-3m1 (No. 164)
Inequivalent atoms, fractional coordinates:
Rh  0.3333  0.6667  0.3672 [2 per cell]
W  0.0000  0.0000  0.5000 [1 per cell]
W  0.3333  0.6667  0.8814 [2 per cell]

distance to the lowest polymorph of the same formula	546	meV/atom
density of states at the Fermi level	0.889	states/eV per atom
calculated total energy	-50.54	eV/f.u.

Entry 14:
The following is a PBE calculation of a relaxed RhW crystal, from Alexandria via LeMat-Bulk.

abc: 2.7815 2.7815 13.5640
angles: 90.00 90.00 120.00
Space group R-3m (No. 166, hexagonal axes)
Inequivalent atoms, fractional coordinates:
Rh  0.0000  0.0000  0.0000 [3 per cell]
W  0.0000  0.0000  0.5000 [3 per cell]

density of states at the Fermi level	0.967	states/eV per atom
calculated total energy	-20.32	eV/f.u.

Entry 15:
The following is a PBE calculation of a relaxed Rh2W3 crystal, from Alexandria via LeMat-Bulk.

abc: 2.7849 2.7849 34.5096
angles: 90.00 90.00 120.00
Space group R-3m (No. 166, hexagonal axes)
Inequivalent atoms, fractional coordinates:
Rh  0.0000  0.0000  0.1009 [6 per cell]
W  0.0000  0.0000  0.2974 [6 per cell]
W  0.0000  0.0000  0.5000 [3 per cell]

distance to the lowest polymorph of the same formula	10	meV/atom
density of states at the Fermi level	0.765	states/eV per atom
calculated total energy	-53.22	eV/f.u.

Entry 16:
The following is a PBE calculation of a relaxed RhW3 crystal, from Alexandria via LeMat-Bulk.

abc: 3.975 3.975 3.975
angles: 90.00 90.00 90.00
Space group Pm-3m (No. 221)
Inequivalent atoms, fractional coordinates:
Rh  0.000  0.000  0.000 [1 per cell]
W  0.000  0.500  0.500 [3 per cell]

density of states at the Fermi level	1.121	states/eV per atom
calculated total energy	-45.70	eV/f.u.

Entry 17:
The following is a PBE calculation of a relaxed RhW2 crystal, from Alexandria via LeMat-Bulk.

abc: 4.4793 4.4793 2.7095
angles: 90.00 90.00 120.00
Space group P-3m1 (No. 164)
Inequivalent atoms, fractional coordinates:
Rh  0.0000  0.0000  0.0000 [1 per cell]
W  0.3333  0.6667  0.3665 [2 per cell]

distance to the lowest polymorph of the same formula	243	meV/atom
density of states at the Fermi level	1.099	states/eV per atom
calculated total energy	-32.65	eV/f.u.

Entry 18:
The following is a PBE calculation of a relaxed RhW crystal, from Alexandria via LeMat-Bulk.

abc: 6.899 6.899 6.899
angles: 90.00 90.00 90.00
Space group Pm-3n (No. 223)
Inequivalent atoms, fractional coordinates:
Rh  0.000  0.250  0.500 [6 per cell]
W  0.000  0.500  0.250 [6 per cell]

density of states at the Fermi level	0.668	states/eV per atom
calculated total energy	-17.25	eV/f.u.

Entry 19:
The following is a PBE calculation of a relaxed RhW7 crystal, from Alexandria via LeMat-Bulk.

abc: 8.022 8.022 8.022
angles: 90.00 90.00 90.00
Space group Fm-3m (No. 225)
Inequivalent atoms, fractional coordinates:
Rh  0.000  0.000  0.000 [4 per cell]
W  0.000  0.000  0.500 [4 per cell]
W  0.000  0.250  0.250 [24 per cell]

density of states at the Fermi level	1.374	states/eV per atom
calculated total energy	-95.56	eV/f.u.

Entry 20:
The following is a PBE calculation of a relaxed RhW crystal, from Alexandria via LeMat-Bulk.

abc: 6.253 6.253 6.253
angles: 90.00 90.00 90.00
Space group Fd-3m (No. 227, origin choice 2)
Inequivalent atoms, fractional coordinates:
Rh  0.125  0.125  0.125 [8 per cell]
W  0.125  0.125  0.625 [8 per cell]

density of states at the Fermi level	1.347	states/eV per atom
calculated total energy	-20.06	eV/f.u.

Entry 21:
The following is a PBE calculation of a relaxed RhW crystal, from Alexandria via LeMat-Bulk.

abc: 7.692 7.692 7.692
angles: 90.00 90.00 90.00
Space group I-43m (No. 217)
Inequivalent atoms, fractional coordinates:
Rh  0.185  0.185  0.185 [8 per cell]
W  0.132  0.132  0.868 [8 per cell]

density of states at the Fermi level	1.063	states/eV per atom
calculated total energy	-17.31	eV/f.u.

Entry 22:
The following is a PBE calculation of a relaxed RhW3 crystal, from Alexandria via LeMat-Bulk.

abc: 3.310 4.367 8.679
angles: 90.00 90.00 90.00
Space group Cmmm (No. 65)
Inequivalent atoms, fractional coordinates:
Rh  0.000  0.000  0.000 [2 per cell]
W  0.000  0.000  0.500 [2 per cell]
W  0.000  0.500  0.242 [4 per cell]

density of states at the Fermi level	0.561	states/eV per atom
calculated total energy	-46.14	eV/f.u.

Entry 23:
The following is a PBE calculation of a relaxed RhW crystal, from Alexandria via LeMat-Bulk.

abc: 7.378 7.513 9.549
angles: 90.00 90.00 90.00
Space group Fddd (No. 70, origin choice 2)
Inequivalent atoms, fractional coordinates:
Rh  0.125  0.299  0.125 [16 per cell]
W  0.047  0.375  0.875 [16 per cell]

density of states at the Fermi level	1.223	states/eV per atom
calculated total energy	-19.09	eV/f.u.

Entry 24:
The following is a PBE calculation of a relaxed RhW crystal, from Alexandria via LeMat-Bulk.

abc: 2.739 10.347 4.287
angles: 90.00 90.00 90.00
Space group Cmcm (No. 63)
Inequivalent atoms, fractional coordinates:
Rh  0.000  0.074  0.250 [4 per cell]
W  0.000  0.333  0.250 [4 per cell]

density of states at the Fermi level	1.448	states/eV per atom
calculated total energy	-20.31	eV/f.u.